## w
A plane-wave DFT calculation with PBE was carried out for Ga3PdRh after structural relaxation.

a b c (Å): 11.524 9.951 6.122
angles (deg): 90.00 101.77 90.00
Space group C2/c (No. 15)
One atom of each set of equivalent atoms:
1 Ga 0.069 0.195 0.480 x8
2 Ga 0.149 0.475 0.582 x8
3 Ga 0.166 0.090 0.100 x8
4 Pd 0.124 0.305 0.877 x8
5 Rh 0.000 0.031 0.750 x4
6 Rh 0.000 0.397 0.250 x4

## x
A plane-wave DFT calculation with PBE was carried out for Ga3PdRh after structural relaxation.

a b c (Å): 4.704 4.704 4.704
angles (deg): 90.00 90.00 90.00
Space group Pm-3m (No. 221)
One atom of each set of equivalent atoms:
1 Ga 0.000 0.000 0.500 x3
2 Pd 0.500 0.500 0.500 x1
3 Rh 0.000 0.000 0.000 x1

Which of them is the least stable? Correct choice: x.

## w
A plane-wave DFT calculation with PBE was carried out for ZnGaPdRh after structural relaxation.

a b c (Å): 6.103 6.103 6.103
angles (deg): 90.00 90.00 90.00
Space group F-43m (No. 216)
One atom of each set of equivalent atoms:
1 Zn 0.000 0.000 0.000 x4
2 Ga 0.000 0.000 0.500 x4
3 Pd 0.250 0.250 0.250 x4
4 Rh 0.250 0.250 0.750 x4

## x
A plane-wave DFT calculation with PBE was carried out for ZnGaPdRh after structural relaxation.

a b c (Å): 3.021 3.021 6.236
angles (deg): 90.00 90.00 90.00
Space group P4mm (No. 99)
One atom of each set of equivalent atoms:
1 Zn 0.000 0.000 0.000 x1
2 Ga 0.000 0.000 0.484 x1
3 Pd 0.500 0.500 0.740 x1
4 Rh 0.500 0.500 0.252 x1

Which of them is the least stable? Correct choice: w.

## w
A plane-wave DFT calculation with PBE was carried out for ZrGaPdRh after structural relaxation.

a b c (Å): 6.409 6.409 6.409
angles (deg): 90.00 90.00 90.00
Space group F-43m (No. 216)
One atom of each set of equivalent atoms:
1 Zr 0.000 0.000 0.000 x4
2 Ga 0.000 0.000 0.500 x4
3 Pd 0.250 0.250 0.750 x4
4 Rh 0.250 0.250 0.250 x4

## x
A plane-wave DFT calculation with PBE was carried out for ZrGaPdRh after structural relaxation.

a b c (Å): 4.133 4.133 7.616
angles (deg): 90.00 90.00 90.00
Space group I-4m2 (No. 119)
One atom of each set of equivalent atoms:
1 Zr 0.000 0.000 0.000 x2
2 Ga 0.000 0.000 0.500 x2
3 Pd 0.000 0.500 0.250 x2
4 Rh 0.000 0.500 0.750 x2

Which of them is the least stable? Correct choice: w.